VASP calculation (PBE) on a geometry-optimized Hf2MgZrSn structure.

## Properties
Its space group is P4/mmm. The uncorrected energy comes out at -5.901 eV per atom. The density of states at the Fermi level comes out at 7.99 states/eV per cell.

Lattice parameters (Å, degrees): 5.305 5.305 4.922 90.00 90.00 90.00
Fractional coordinates of all 5 atoms:
1 Hf 0.000 0.500 0.000
2 Hf 0.500 0.000 0.000
3 Mg 0.000 0.000 0.500
4 Zr 0.500 0.500 0.500
5 Sn 0.000 0.000 0.000